## Sm3HoAu2 (PBE)

Data for a geometry-optimized Sm3HoAu2 structure.

```
data_Sm3HoAu2
_chemical_formula_sum 'Sm6 Ho2 Au4'
_cell_length_a 5.0576
_cell_length_b 7.1537
_cell_length_c 9.1613
_cell_angle_alpha 90.00
_cell_angle_beta 90.00
_cell_angle_gamma 90.00
_symmetry_space_group_name_H-M 'P 1'
_symmetry_Int_Tables_number 1
_symmetry_space_group_name_Hall 'P 1'
loop_
_atom_site_label
_atom_site_type_symbol
_atom_site_fract_x
_atom_site_fract_y
_atom_site_fract_z
Au1 Au 0.0000 0.7636 0.3496
Au2 Au 0.5000 0.2358 0.1569
Au3 Au 0.5000 0.7358 0.8431
Au4 Au 0.0000 0.2636 0.6504
Ho1 Ho 0.5000 0.5093 0.5735
Ho2 Ho 0.5000 0.0093 0.4265
Sm1 Sm 0.5000 0.6515 0.1668
Sm2 Sm 0.0000 0.8488 0.6649
Sm3 Sm 0.0000 0.4910 0.9251
Sm4 Sm 0.0000 0.9910 0.0749
Sm5 Sm 0.5000 0.1515 0.8332
Sm6 Sm 0.0000 0.3488 0.3351
```

Energy relative to the elements (meV/atom): -585
DOS at the Fermi energy (states/eV per cell): 12.56
Calculated volume (Å³ per atom): 27.62
Symmetry: No. 26

## SmHoTcAu (PBE)

Data for a geometry-optimized SmHoTcAu structure.

```
data_SmHoTcAu
_chemical_formula_sum 'Sm1 Ho1 Tc1 Au1'
_cell_length_a 4.9958
_cell_length_b 4.9958
_cell_length_c 4.9958
_cell_angle_alpha 60.00
_cell_angle_beta 60.00
_cell_angle_gamma 60.00
_symmetry_space_group_name_H-M 'P 1'
_symmetry_Int_Tables_number 1
_symmetry_space_group_name_Hall 'P 1'
loop_
_atom_site_label
_atom_site_type_symbol
_atom_site_fract_x
_atom_site_fract_y
_atom_site_fract_z
Ho1 Ho 0.5000 0.5000 0.5000
Au1 Au 0.7500 0.7500 0.7500
Sm1 Sm 0.0000 0.0000 0.0000
Tc1 Tc 0.2500 0.2500 0.2500
```

Energy relative to the elements (meV/atom): -307
DOS at the Fermi energy (states/eV per cell): 2.18
Calculated volume (Å³ per atom): 22.04
Symmetry: No. 216

## SmHoTlAu (PBE)

Data for a geometry-optimized SmHoTlAu structure.

```
data_SmHoTlAu
_chemical_formula_sum 'Sm1 Ho1 Tl1 Au1'
_cell_length_a 5.2845
_cell_length_b 5.2845
_cell_length_c 5.2845
_cell_angle_alpha 60.00
_cell_angle_beta 60.00
_cell_angle_gamma 60.00
_symmetry_space_group_name_H-M 'P 1'
_symmetry_Int_Tables_number 1
_symmetry_space_group_name_Hall 'P 1'
loop_
_atom_site_label
_atom_site_type_symbol
_atom_site_fract_x
_atom_site_fract_y
_atom_site_fract_z
Sm1 Sm 0.2500 0.2500 0.2500
Ho1 Ho 0.7500 0.7500 0.7500
Tl1 Tl 0.5000 0.5000 0.5000
Au1 Au 0.0000 0.0000 0.0000
```

Energy relative to the elements (meV/atom): -548
DOS at the Fermi energy (states/eV per cell): 3.68
Calculated volume (Å³ per atom): 26.09
Symmetry: No. 216

## SmHoTlAu (PBE)

Data for a geometry-optimized SmHoTlAu structure.

```
data_SmHoTlAu
_chemical_formula_sum 'Sm1 Ho1 Tl1 Au1'
_cell_length_a 3.6487
_cell_length_b 3.6487
_cell_length_c 7.7925
_cell_angle_alpha 90.00
_cell_angle_beta 90.00
_cell_angle_gamma 90.00
_symmetry_space_group_name_H-M 'P 1'
_symmetry_Int_Tables_number 1
_symmetry_space_group_name_Hall 'P 1'
loop_
_atom_site_label
_atom_site_type_symbol
_atom_site_fract_x
_atom_site_fract_y
_atom_site_fract_z
Au1 Au 0.0000 0.0000 0.3760
Ho1 Ho 0.5000 0.5000 0.5819
Sm1 Sm 0.5000 0.5000 0.1222
Tl1 Tl 0.0000 0.0000 0.8478
```

Energy relative to the elements (meV/atom): -603
DOS at the Fermi energy (states/eV per cell): 2.44
Calculated volume (Å³ per atom): 25.93
Symmetry: No. 99

## Ho4SnAu (PBE)

Data for a geometry-optimized Ho4SnAu structure.

```
data_Ho4SnAu
_chemical_formula_sum 'Ho8 Sn2 Au2'
_cell_length_a 5.3879
_cell_length_b 6.3879
_cell_length_c 10.6944
_cell_angle_alpha 90.00
_cell_angle_beta 104.59
_cell_angle_gamma 90.00
_symmetry_space_group_name_H-M 'P 1'
_symmetry_Int_Tables_number 1
_symmetry_space_group_name_Hall 'P 1'
loop_
_atom_site_label
_atom_site_type_symbol
_atom_site_fract_x
_atom_site_fract_y
_atom_site_fract_z
Sn1 Sn 0.1554 0.3220 0.3108
Sn2 Sn 0.8446 0.8220 0.6892
Ho1 Ho 0.1182 0.8218 0.2365
Ho2 Ho 0.2976 0.0676 0.5951
Ho3 Ho 0.4441 0.8230 0.8883
Ho4 Ho 0.5559 0.3230 0.1117
Ho5 Ho 0.7024 0.5676 0.4049
Ho6 Ho 0.2980 0.5767 0.5960
Ho7 Ho 0.8818 0.3218 0.7635
Ho8 Ho 0.7020 0.0767 0.4040
Au1 Au 0.5799 0.8222 0.1597
Au2 Au 0.4201 0.3222 0.8403
```

Energy relative to the elements (meV/atom): -415
DOS at the Fermi energy (states/eV per cell): 11.83
Calculated volume (Å³ per atom): 29.68
Symmetry: No. 36

## HoSn3Au (PBE)

Data for a geometry-optimized HoSn3Au structure.

```
data_HoSn3Au
_chemical_formula_sum 'Ho4 Sn12 Au4'
_cell_length_a 6.2559
_cell_length_b 6.2548
_cell_length_c 12.6054
_cell_angle_alpha 90.00
_cell_angle_beta 90.00
_cell_angle_gamma 90.00
_symmetry_space_group_name_H-M 'P 1'
_symmetry_Int_Tables_number 1
_symmetry_space_group_name_Hall 'P 1'
loop_
_atom_site_label
_atom_site_type_symbol
_atom_site_fract_x
_atom_site_fract_y
_atom_site_fract_z
Sn1 Sn 0.7500 0.0172 0.7399
Sn2 Sn 0.5000 0.2500 0.4997
Sn3 Sn 0.7500 0.8625 0.0684
Sn4 Sn 0.2500 0.1375 0.9316
Sn5 Sn 0.0000 0.7500 0.5003
Sn6 Sn 0.7500 0.5172 0.2601
Sn7 Sn 0.2500 0.4828 0.7399
Sn8 Sn 0.2500 0.6375 0.0684
Sn9 Sn 0.7500 0.3625 0.9316
Sn10 Sn 0.2500 0.9828 0.2601
Sn11 Sn 0.0000 0.2500 0.4997
Sn12 Sn 0.5000 0.7500 0.5003
Ho1 Ho 0.2500 0.4912 0.3071
Ho2 Ho 0.7500 0.0088 0.3071
Ho3 Ho 0.7500 0.5088 0.6929
Ho4 Ho 0.2500 0.9912 0.6929
Au1 Au 0.5000 0.7500 0.8831
Au2 Au 0.0000 0.2500 0.1169
Au3 Au 0.5000 0.2500 0.1169
Au4 Au 0.0000 0.7500 0.8831
```

Energy relative to the elements (meV/atom): -407
DOS at the Fermi energy (states/eV per cell): 9.61
Calculated volume (Å³ per atom): 24.66
Symmetry: No. 57

## HoSnAu (PBE)

Data for a geometry-optimized HoSnAu structure.

```
data_HoSnAu
_chemical_formula_sum 'Ho1 Sn1 Au1'
_cell_length_a 3.2276
_cell_length_b 3.2276
_cell_length_c 8.2270
_cell_angle_alpha 101.31
_cell_angle_beta 101.31
_cell_angle_gamma 90.00
_symmetry_space_group_name_H-M 'P 1'
_symmetry_Int_Tables_number 1
_symmetry_space_group_name_Hall 'P 1'
loop_
_atom_site_label
_atom_site_type_symbol
_atom_site_fract_x
_atom_site_fract_y
_atom_site_fract_z
Ho1 Ho 0.9428 0.9428 0.8857
Au1 Au 0.7637 0.7637 0.5274
Sn1 Sn 0.1435 0.1435 0.2870
```

Energy relative to the elements (meV/atom): 186
DOS at the Fermi energy (states/eV per cell): 3.16
Calculated volume (Å³ per atom): 27.45
Symmetry: No. 107

## Ho3SnAu (PBE)

Data for a geometry-optimized Ho3SnAu structure.

```
data_Ho3SnAu
_chemical_formula_sum 'Ho6 Sn2 Au2'
_cell_length_a 5.2806
_cell_length_b 6.4118
_cell_length_c 8.6336
_cell_angle_alpha 90.00
_cell_angle_beta 90.00
_cell_angle_gamma 90.00
_symmetry_space_group_name_H-M 'P 1'
_symmetry_Int_Tables_number 1
_symmetry_space_group_name_Hall 'P 1'
loop_
_atom_site_label
_atom_site_type_symbol
_atom_site_fract_x
_atom_site_fract_y
_atom_site_fract_z
Ho1 Ho 0.0000 0.2500 0.7652
Ho2 Ho 0.5000 0.0000 0.0000
Ho3 Ho 0.5000 0.5000 0.0000
Ho4 Ho 0.5000 0.7500 0.6386
Ho5 Ho 0.5000 0.2500 0.3614
Ho6 Ho 0.0000 0.7500 0.2348
Sn1 Sn 0.0000 0.2500 0.1449
Sn2 Sn 0.0000 0.7500 0.8551
Au1 Au 0.5000 0.2500 0.6918
Au2 Au 0.5000 0.7500 0.3082
```

Energy relative to the elements (meV/atom): -533
DOS at the Fermi energy (states/eV per cell): 11.44
Calculated volume (Å³ per atom): 29.23
Symmetry: No. 51

## Ho6Sn3Au (PBE)

Data for a geometry-optimized Ho6Sn3Au structure.

```
data_Ho6Sn3Au
_chemical_formula_sum 'Ho12 Sn6 Au2'
_cell_length_a 6.1782
_cell_length_b 8.6527
_cell_length_c 10.7661
_cell_angle_alpha 90.00
_cell_angle_beta 89.52
_cell_angle_gamma 90.00
_symmetry_space_group_name_H-M 'P 1'
_symmetry_Int_Tables_number 1
_symmetry_space_group_name_Hall 'P 1'
loop_
_atom_site_label
_atom_site_type_symbol
_atom_site_fract_x
_atom_site_fract_y
_atom_site_fract_z
Ho1 Ho 0.6442 0.4480 0.2575
Ho2 Ho 0.8864 0.6687 0.5639
Ho3 Ho 0.1442 0.0520 0.7575
Ho4 Ho 0.3966 0.8160 0.4369
Ho5 Ho 0.8558 0.9480 0.2425
Ho6 Ho 0.6136 0.1687 0.9361
Ho7 Ho 0.6034 0.1840 0.5631
Ho8 Ho 0.1034 0.3160 0.0631
Ho9 Ho 0.8966 0.6840 0.9369
Ho10 Ho 0.1136 0.3313 0.4361
Ho11 Ho 0.3864 0.8313 0.0639
Ho12 Ho 0.3558 0.5520 0.7425
Au1 Au 0.0000 0.0000 0.0000
Au2 Au 0.5000 0.5000 0.5000
Sn1 Sn 0.4014 0.1148 0.2556
Sn2 Sn 0.5000 0.5000 0.0000
Sn3 Sn 0.9014 0.3852 0.7556
Sn4 Sn 0.5986 0.8852 0.7444
Sn5 Sn 0.0000 0.0000 0.5000
Sn6 Sn 0.0986 0.6148 0.2444
```

Energy relative to the elements (meV/atom): -527
DOS at the Fermi energy (states/eV per cell): 17.43
Calculated volume (Å³ per atom): 28.78
Symmetry: No. 14

## Ho2SnAu4 (PBE)

Data for a geometry-optimized Ho2SnAu4 structure.

```
data_Ho2SnAu4
_chemical_formula_sum 'Ho2 Sn1 Au4'
_cell_length_a 4.8842
_cell_length_b 4.8842
_cell_length_c 8.4456
_cell_angle_alpha 73.19
_cell_angle_beta 73.19
_cell_angle_gamma 60.00
_symmetry_space_group_name_H-M 'P 1'
_symmetry_Int_Tables_number 1
_symmetry_space_group_name_Hall 'P 1'
loop_
_atom_site_label
_atom_site_type_symbol
_atom_site_fract_x
_atom_site_fract_y
_atom_site_fract_z
Au1 Au 0.6203 0.6203 0.1390
Au2 Au 0.8716 0.8716 0.3853
Au3 Au 0.1284 0.1284 0.6147
Au4 Au 0.3797 0.3797 0.8610
Ho1 Ho 0.2497 0.2497 0.2508
Ho2 Ho 0.7503 0.7503 0.7492
Sn1 Sn 0.0000 0.0000 0.0000
```

Energy relative to the elements (meV/atom): -606
DOS at the Fermi energy (states/eV per cell): 3.70
Calculated volume (Å³ per atom): 23.50
Symmetry: No. 166

## Ho12SnAu6 (PBE)

Data for a geometry-optimized Ho12SnAu6 structure.

```
data_Ho12SnAu6
_chemical_formula_sum 'Ho12 Sn1 Au6'
_cell_length_a 8.5269
_cell_length_b 8.5269
_cell_length_c 8.5269
_cell_angle_alpha 100.92
_cell_angle_beta 100.92
_cell_angle_gamma 100.92
_symmetry_space_group_name_H-M 'P 1'
_symmetry_Int_Tables_number 1
_symmetry_space_group_name_Hall 'P 1'
loop_
_atom_site_label
_atom_site_type_symbol
_atom_site_fract_x
_atom_site_fract_y
_atom_site_fract_z
Ho1 Ho 0.8217 0.5714 0.4264
Ho2 Ho 0.0684 0.9209 0.3312
Ho3 Ho 0.5736 0.1783 0.4286
Ho4 Ho 0.0791 0.6688 0.9316
Ho5 Ho 0.1783 0.4286 0.5736
Ho6 Ho 0.9316 0.0791 0.6688
Ho7 Ho 0.3312 0.0684 0.9209
Ho8 Ho 0.9209 0.3312 0.0684
Ho9 Ho 0.5714 0.4264 0.8217
Ho10 Ho 0.4286 0.5736 0.1783
Ho11 Ho 0.6688 0.9316 0.0791
Ho12 Ho 0.4264 0.8217 0.5714
Sn1 Sn 0.0000 0.0000 0.0000
Au1 Au 0.6942 0.8606 0.3926
Au2 Au 0.6074 0.3058 0.1394
Au3 Au 0.3058 0.1394 0.6074
Au4 Au 0.3926 0.6942 0.8606
Au5 Au 0.8606 0.3926 0.6942
Au6 Au 0.1394 0.6074 0.3058
```

Energy relative to the elements (meV/atom): -435
DOS at the Fermi energy (states/eV per cell): 18.99
Calculated volume (Å³ per atom): 30.59
Symmetry: No. 148

## Ho2SnAu2 (PBE)

Data for a geometry-optimized Ho2SnAu2 structure.

```
data_Ho2SnAu2
_chemical_formula_sum 'Ho8 Sn4 Au8'
_cell_length_a 7.9352
_cell_length_b 7.9352
_cell_length_c 7.4266
_cell_angle_alpha 90.00
_cell_angle_beta 90.00
_cell_angle_gamma 90.00
_symmetry_space_group_name_H-M 'P 1'
_symmetry_Int_Tables_number 1
_symmetry_space_group_name_Hall 'P 1'
loop_
_atom_site_label
_atom_site_type_symbol
_atom_site_fract_x
_atom_site_fract_y
_atom_site_fract_z
Au1 Au 0.3721 0.6279 0.7244
Au2 Au 0.1279 0.1279 0.7756
Au3 Au 0.8721 0.8721 0.7756
Au4 Au 0.3721 0.6279 0.2756
Au5 Au 0.1279 0.1279 0.2244
Au6 Au 0.6279 0.3721 0.7244
Au7 Au 0.6279 0.3721 0.2756
Au8 Au 0.8721 0.8721 0.2244
Ho1 Ho 0.6575 0.6575 0.0000
Ho2 Ho 0.3183 0.3183 0.5000
Ho3 Ho 0.3425 0.3425 0.0000
Ho4 Ho 0.6817 0.6817 0.5000
Ho5 Ho 0.1817 0.8183 0.0000
Ho6 Ho 0.8425 0.1575 0.5000
Ho7 Ho 0.1575 0.8425 0.5000
Ho8 Ho 0.8183 0.1817 0.0000
Sn1 Sn 0.0000 0.5000 0.7500
Sn2 Sn 0.5000 0.0000 0.7500
Sn3 Sn 0.5000 0.0000 0.2500
Sn4 Sn 0.0000 0.5000 0.2500
```

Energy relative to the elements (meV/atom): -851
DOS at the Fermi energy (states/eV per cell): 7.58
Calculated volume (Å³ per atom): 23.38
Symmetry: No. 136